Run P
# Ge2BiCl2

An optimized crystal structure of Ge2BiCl2 (GGA-PBE, the Alexandria database).

a b c (Å): 6.9772 6.9772 6.9772
angles (deg): 143.25 143.25 52.95
Fractional coordinates of all 5 atoms:
Ge  0.1141  0.1141  0.0000
Ge  0.8859  0.8859  0.0000
Bi  0.5000  0.5000  0.0000
Cl  0.2500  0.7500  0.5000
Cl  0.7500  0.2500  0.5000

Results
- crystal system = tetragonal
- density of states at the Fermi level (states/eV per atom) = 0.818
- symmetry = I4/mmm, No. 139

Run Q
# Ge2BiCl2

An optimized crystal structure of Ge2BiCl2 (GGA-PBE, the Alexandria database).

a b c (Å): 8.8724 8.8724 3.3717
angles (deg): 90.00 90.00 90.00
Fractional coordinates of all 10 atoms:
Ge  0.2276  0.2724  0.0000
Ge  0.2724  0.7724  0.0000
Ge  0.7276  0.2276  0.0000
Ge  0.7724  0.7276  0.0000
Bi  0.0000  0.0000  0.0000
Bi  0.5000  0.5000  0.0000
Cl  0.1268  0.6268  0.5000
Cl  0.3732  0.1268  0.5000
Cl  0.6268  0.8732  0.5000
Cl  0.8732  0.3732  0.5000

Results
- crystal system = tetragonal
- density of states at the Fermi level (states/eV per atom) = 0.332
- symmetry = P4/mbm, No. 127

The structure shown above that is least stable: run P.